Record 1
A relaxed structure of TbNd3DyY. Source: Alexandria, functional GGA-PBE.

The calculation puts the formation energy at 0.0176 eV per atom. The space-group type is Cmcm.

Cell and atoms, written as CIF:
```
data_TbNd3DyY
_chemical_formula_sum 'Tb2 Nd6 Dy2 Y2'
_space_group_name_H-M_alt 'P 1'
_space_group_IT_number 1
_cell_length_a 5.115
_cell_length_b 8.104
_cell_length_c 10.242
_cell_angle_alpha 90.00
_cell_angle_beta 90.00
_cell_angle_gamma 108.40
loop_
_space_group_symop_operation_xyz
'x,y,z'
loop_
_atom_site_label
_atom_site_type_symbol
_atom_site_fract_x
_atom_site_fract_y
_atom_site_fract_z
Tb1 Tb 0.000 0.000 0.500
Tb2 Tb 0.000 0.000 0.000
Nd1 Nd 0.665 0.330 0.500
Nd2 Nd 0.335 0.670 0.500
Nd3 Nd 0.335 0.670 0.000
Nd4 Nd 0.665 0.330 0.000
Nd5 Nd 0.165 0.331 0.750
Nd6 Nd 0.835 0.669 0.250
Dy1 Dy 0.499 0.998 0.750
Dy2 Dy 0.501 0.002 0.250
Y1 Y 0.835 0.669 0.750
Y2 Y 0.165 0.331 0.250
```

***

Record 2
A relaxed structure of TbNd3Dy6Y2. Source: Alexandria, functional GGA-PBE.

The calculation puts the formation energy at 0.0175 eV per atom. The space-group type is C2/m.

Cell and atoms, written as CIF:
```
data_TbNd3Dy6Y2
_chemical_formula_sum 'Tb1 Nd3 Dy6 Y2'
_space_group_name_H-M_alt 'P 1'
_space_group_IT_number 1
_cell_length_a 6.214
_cell_length_b 6.214
_cell_length_c 11.856
_cell_angle_alpha 95.00
_cell_angle_beta 95.00
_cell_angle_gamma 119.99
loop_
_space_group_symop_operation_xyz
'x,y,z'
loop_
_atom_site_label
_atom_site_type_symbol
_atom_site_fract_x
_atom_site_fract_y
_atom_site_fract_z
Tb1 Tb 0.000 0.000 0.000
Nd1 Nd 0.167 0.833 0.500
Nd2 Nd 0.833 0.167 0.500
Nd3 Nd 0.500 0.500 0.500
Dy1 Dy 0.917 0.585 0.753
Dy2 Dy 0.750 0.750 0.247
Dy3 Dy 0.083 0.415 0.247
Dy4 Dy 0.585 0.917 0.753
Dy5 Dy 0.250 0.250 0.753
Dy6 Dy 0.415 0.083 0.247
Y1 Y 0.333 0.667 0.000
Y2 Y 0.667 0.333 0.000
```

***

Record 3
A relaxed structure of Tb2Nd2DyY4. Source: Alexandria, functional GGA-PBE.

The calculation puts the formation energy at -0.0035 eV per atom. The space-group type is C2/m.

Cell and atoms, written as CIF:
```
data_Tb2Nd2DyY4
_chemical_formula_sum 'Tb2 Nd2 Dy1 Y4'
_space_group_name_H-M_alt 'P 1'
_space_group_IT_number 1
_cell_length_a 3.622
_cell_length_b 9.570
_cell_length_c 9.624
_cell_angle_alpha 115.20
_cell_angle_beta 90.00
_cell_angle_gamma 100.91
loop_
_space_group_symop_operation_xyz
'x,y,z'
loop_
_atom_site_label
_atom_site_type_symbol
_atom_site_fract_x
_atom_site_fract_y
_atom_site_fract_z
Tb1 Tb 0.852 0.705 0.336
Tb2 Tb 0.148 0.295 0.664
Nd1 Nd 0.335 0.669 0.002
Nd2 Nd 0.665 0.331 0.998
Dy1 Dy 0.000 0.000 0.000
Y1 Y 0.815 0.629 0.665
Y2 Y 0.185 0.371 0.335
Y3 Y 0.519 0.038 0.335
Y4 Y 0.481 0.962 0.665
```